[1]
! Sr2CaTaN4 (GGA-PBE, optimized geometry); values from VASP
! Crystal system: orthorhombic
! DOS(E_F): 5.9 states/eV/f.u.
! Total moment: 2.1 μB per cell
! Calculated total energy: -7.23 eV per atom
&SYSTEM
  ibrav = 0, nat = 16, ntyp = 4
/
ATOMIC_SPECIES
Sr 87.62 Sr.upf
N 14.01 N.upf
Ca 40.08 Ca.upf
Ta 180.95 Ta.upf
CELL_PARAMETERS angstrom
5.785 0.000 0.000
0.000 6.872 0.000
0.000 0.000 7.849
ATOMIC_POSITIONS crystal
Sr 0.474 0.324 0.254
Sr 0.474 0.324 0.746
Sr 0.974 0.676 0.754
Sr 0.974 0.676 0.246
N 0.423 0.696 0.717
N 0.333 0.160 0.000
N 0.892 0.897 0.000
N 0.423 0.696 0.283
N 0.923 0.304 0.783
N 0.833 0.840 0.500
N 0.923 0.304 0.217
N 0.392 0.103 0.500
Ca 0.481 0.851 0.000
Ca 0.981 0.149 0.500
Ta 0.501 0.831 0.500
Ta 0.001 0.169 0.000

***

[2]
! SrCaTcN3 (GGA-PBE, optimized geometry); values from VASP
! Crystal system: orthorhombic
! DOS(E_F): 3.3 states/eV/f.u.
! Total moment: 0.0 μB per cell
! Calculated total energy: -7.03 eV per atom
&SYSTEM
  ibrav = 0, nat = 12, ntyp = 4
/
ATOMIC_SPECIES
Ca 40.08 Ca.upf
N 14.01 N.upf
Sr 87.62 Sr.upf
Tc 98.00 Tc.upf
CELL_PARAMETERS angstrom
3.450 0.000 0.000
-1.725 5.870 0.000
0.000 0.000 10.369
ATOMIC_POSITIONS crystal
Ca 0.000 0.000 0.000
Ca 0.000 0.000 0.500
N 0.617 0.234 0.103
N 0.383 0.766 0.603
N 0.936 0.872 0.250
N 0.617 0.234 0.397
N 0.064 0.128 0.750
N 0.383 0.766 0.897
Sr 0.264 0.529 0.250
Sr 0.736 0.471 0.750
Tc 0.532 0.063 0.250
Tc 0.468 0.937 0.750

***

[3]
! Sr3CaTc2N6 (GGA-PBE, optimized geometry); values from VASP
! Crystal system: trigonal
! Total moment: 0.0 μB per cell
! Calculated total energy: -7.11 eV per atom
&SYSTEM
  ibrav = 0, nat = 12, ntyp = 4
/
ATOMIC_SPECIES
Sr 87.62 Sr.upf
N 14.01 N.upf
Tc 98.00 Tc.upf
Ca 40.08 Ca.upf
CELL_PARAMETERS angstrom
6.172 0.000 0.000
-3.086 5.345 0.000
0.000 0.000 6.933
ATOMIC_POSITIONS crystal
Sr 0.333 0.667 0.714
Sr 0.667 0.333 0.286
Sr 0.000 0.000 0.000
N 0.169 0.831 0.273
N 0.339 0.169 0.727
N 0.831 0.661 0.727
N 0.661 0.831 0.273
N 0.831 0.169 0.727
N 0.169 0.339 0.273
Tc 0.333 0.667 0.225
Tc 0.667 0.333 0.775
Ca 0.000 0.000 0.500

***

[4]
! Sr2CaTc2N4 (GGA-PBE, optimized geometry); values from VASP
! Crystal system: monoclinic
! DOS(E_F): 4.0 states/eV/f.u.
! Total moment: 0.0 μB per cell
! Calculated total energy: -7.05 eV per atom
&SYSTEM
  ibrav = 0, nat = 9, ntyp = 4
/
ATOMIC_SPECIES
Tc 98.00 Tc.upf
N 14.01 N.upf
Sr 87.62 Sr.upf
Ca 40.08 Ca.upf
CELL_PARAMETERS angstrom
3.387 0.000 0.000
-1.693 6.818 0.218
0.000 -2.189 5.940
ATOMIC_POSITIONS crystal
Tc 0.683 0.365 0.995
Tc 0.317 0.635 0.005
N 0.225 0.449 0.216
N 0.450 0.900 0.231
N 0.550 0.100 0.769
N 0.775 0.551 0.784
Sr 0.871 0.743 0.471
Sr 0.129 0.257 0.529
Ca 0.000 0.000 0.000

***

[5]
! SrCa2Tc2N4 (GGA-PBE, optimized geometry); values from VASP
! Crystal system: monoclinic
! DOS(E_F): 4.4 states/eV/f.u.
! Total moment: 0.0 μB per cell
! Calculated total energy: -7.19 eV per atom
&SYSTEM
  ibrav = 0, nat = 9, ntyp = 4
/
ATOMIC_SPECIES
Sr 87.62 Sr.upf
Ca 40.08 Ca.upf
N 14.01 N.upf
Tc 98.00 Tc.upf
CELL_PARAMETERS angstrom
-3.044 -1.632 -0.118
4.934 -5.493 -0.707
-3.170 5.452 6.382
ATOMIC_POSITIONS crystal
Sr 0.000 0.000 0.000
Ca 0.846 0.691 0.441
Ca 0.154 0.309 0.559
N 0.553 0.106 0.280
N 0.231 0.461 0.128
N 0.447 0.894 0.720
N 0.769 0.539 0.872
Tc 0.652 0.304 0.918
Tc 0.348 0.696 0.082

***

[6]
! Sr2CaTeN (GGA-PBE, optimized geometry); values from VASP
! Crystal system: tetragonal
! DOS(E_F): 1.8 states/eV/f.u.
! Total moment: 0.0 μB per cell
! Calculated total energy: -4.32 eV per atom
&SYSTEM
  ibrav = 0, nat = 5, ntyp = 4
/
ATOMIC_SPECIES
Te 127.60 Te.upf
N 14.01 N.upf
Sr 87.62 Sr.upf
Ca 40.08 Ca.upf
CELL_PARAMETERS angstrom
-3.198 3.814 1.863
-4.052 -2.048 -2.762
-1.143 -2.788 3.744
ATOMIC_POSITIONS crystal
Te 0.500 0.500 0.500
N 0.000 0.000 0.000
Sr 0.500 0.000 0.000
Sr 0.000 0.500 0.000
Ca 0.000 0.000 0.500